No. 1
meta-GGA SCAN CrBiSe2, PBEsol geometry; uncorrected formation energy = -57.6 kJ per mole of atoms; N(E_F) = 1.02 states/eV/f.u.; total DFT energy (no corrections) = -34.88 eV per atom; space-group type = R-3m, No. 166
1.0
-3.2084 0.6048 -1.4688
-1.8992 -2.7247 -1.3363
-5.4085 -1.8606 6.6852
Bi Cr Se
1 1 2
direct
0.0000 0.0000 0.0000
0.5000 0.5000 0.5000
0.1133 0.1133 0.6600
0.8867 0.8867 0.3400

---

No. 2
meta-GGA SCAN CrBi3Se, PBEsol geometry; uncorrected formation energy = 84.5 kJ per mole of atoms; N(E_F) = 3.81 states/eV/f.u.; total DFT energy (no corrections) = -53.96 eV per atom; space-group type = Pm-3m, No. 221
1.0
5.4572 0.0000 0.0000
0.0000 5.4572 0.0000
0.0000 0.0000 5.4572
Cr Bi Se
1 3 1
direct
0.5000 0.5000 0.5000
0.0000 0.0000 0.5000
0.0000 0.5000 0.0000
0.5000 0.0000 0.0000
0.0000 0.0000 0.0000

---

No. 3
meta-GGA SCAN CrSnBi2, PBEsol geometry; N(E_F) = 1.23 states/eV/f.u.; total DFT energy (no corrections) = -52.57 eV per atom; energy of formation from the pure elements = 294 meV/atom; space-group type = I-42d, No. 122
1.0
6.4810 0.0000 0.0000
0.0000 6.4810 0.0000
-3.2405 -3.2405 6.6162
Cr Bi Sn
2 4 2
direct
0.7500 0.2500 0.5000
0.5000 0.5000 0.0000
0.1250 0.1529 0.7500
0.6250 0.5971 0.7500
0.4029 0.8750 0.2500
0.8471 0.3750 0.2500
0.2500 0.7500 0.5000
0.0000 0.0000 0.0000

---

No. 4
meta-GGA SCAN SrCrBi2, PBEsol geometry; N(E_F) = 2.41 states/eV/f.u.; total DFT energy (no corrections) = -49.64 eV per atom; energy of formation from the pure elements = -182 meV/atom; space-group type = Fm-3m, No. 225
1.0
-1.7810 5.0747 -0.0548
-3.3900 1.7016 3.8131
1.6847 3.4817 3.7372
Cr Bi Sr
1 2 1
direct
0.0000 0.0000 0.0000
0.2500 0.2500 0.2500
0.7500 0.7500 0.7500
0.5000 0.5000 0.5000

---

No. 5
meta-GGA SCAN CrTcBi3, PBEsol geometry; N(E_F) = 4.89 states/eV/f.u.; total DFT energy (no corrections) = -56.67 eV per atom; energy of formation from the pure elements = 1166 meV/atom; space-group type = Pm-3m, No. 221
1.0
5.1028 0.0000 0.0000
0.0000 5.1028 0.0000
0.0000 0.0000 5.1028
Bi Cr Tc
3 1 1
direct
0.0000 0.5000 0.0000
0.0000 0.0000 0.5000
0.5000 0.0000 0.0000
0.0000 0.0000 0.0000
0.5000 0.5000 0.5000

---

No. 6
meta-GGA SCAN CrBi3Te, PBEsol geometry; uncorrected formation energy = 43.8 kJ per mole of atoms; N(E_F) = 2.10 states/eV/f.u.; total DFT energy (no corrections) = -57.82 eV per atom; space-group type = Pm-3m, No. 221
1.0
5.1169 0.0000 0.0000
0.0000 5.1169 0.0000
0.0000 0.0000 5.1169
Te Bi Cr
1 3 1
direct
0.5000 0.5000 0.5000
0.5000 0.0000 0.0000
0.0000 0.0000 0.5000
0.0000 0.5000 0.0000
0.0000 0.0000 0.0000

---

Look up the N(E_F) of the fifth one. 4.89 states/eV/f.u.